## LiVF6 (PBE with a Hubbard U)

Data for LiVF6 after structural relaxation.

```
16
Lattice="5.344 0.000 0.000 0.000 8.956 0.000 -2.635 0.000 4.673" Properties=species:S:1:pos:R:3 pbc="T T T"
Li 0.555 0.000 0.316
Li 2.154 4.478 4.356
V -0.488 6.416 2.795
V 3.197 1.938 1.877
F -1.395 5.169 3.770
F -0.091 5.173 1.520
F -0.660 2.350 2.741
F -0.839 7.667 4.075
F 0.449 7.668 1.859
F 1.669 1.450 0.986
F 1.040 5.928 3.687
F 2.260 3.190 2.814
F 3.548 3.189 0.598
F 3.369 6.828 1.932
F 2.800 0.695 3.153
F 4.104 0.691 0.903
```

Properties
DFT total energy = -83.36 eV per cell
space group = P2_1